# 1
Computed, not measured: an optimized crystal structure of Tb4Nd5Sm3 at the PBE level of DFT.

Unit cell a=16.3378 b=6.0115 c=9.3831 alpha=90.00 beta=116.21 gamma=90.00
Space group C2/m (No. 12)
One atom of each set of equivalent atoms:
Tb  0.0816  0.0000  0.4409 [4 per cell]
Tb  0.2137  0.0000  0.8781 [4 per cell]
Nd  0.0000  0.0000  0.0000 [2 per cell]
Nd  0.0760  0.5000  0.6996 [4 per cell]
Nd  0.1737  0.5000  0.3864 [4 per cell]
Sm  0.0000  0.5000  0.0000 [2 per cell]
Sm  0.2080  0.0000  0.2275 [4 per cell]

## Properties
**Distance to the lowest polymorph of the same formula**: 0.199 eV/atom
**E_tot**: -107.9 eV/cell
**ΔH_f (0 K)**: 0.21 eV/atom



# 2
Computed, not measured: an optimized crystal structure of Tb3Nd5Sm at the PBE level of DFT.

Unit cell a=11.5459 b=11.4742 c=11.7381 alpha=90.00 beta=116.04 gamma=90.00
Space group C2/m (No. 12)
One atom of each set of equivalent atoms:
Tb  0.0000  0.0000  0.0000 [2 per cell]
Tb  0.0000  0.0000  0.5000 [2 per cell]
Tb  0.1194  0.5000  0.1568 [4 per cell]
Tb  0.2068  0.0000  0.3480 [4 per cell]
Nd  0.0000  0.2566  0.0000 [4 per cell]
Nd  0.0274  0.5000  0.3814 [4 per cell]
Nd  0.1931  0.5000  0.9049 [4 per cell]
Nd  0.2061  0.2331  0.6466 [8 per cell]
Sm  0.0912  0.0000  0.7953 [4 per cell]

## Properties
**Distance to the lowest polymorph of the same formula**: 0.276 eV/atom
**E_tot**: -150.1 eV/cell
**ΔH_f (0 K)**: 0.55 eV/atom



# 3
Computed, not measured: an optimized crystal structure of Tb3Nd5Sm2 at the PBE level of DFT.

Unit cell a=10.8756 b=15.0028 c=10.0594 alpha=90.00 beta=122.61 gamma=90.00
Space group C2/c (No. 15)
One atom of each set of equivalent atoms:
Tb  0.0000  0.0196  0.2500 [4 per cell]
Tb  0.1571  0.3760  0.5544 [8 per cell]
Nd  0.0000  0.2288  0.2500 [4 per cell]
Nd  0.0000  0.2692  0.7500 [4 per cell]
Nd  0.0000  0.4753  0.7500 [4 per cell]
Nd  0.2417  0.3776  0.2360 [8 per cell]
Sm  0.1500  0.1231  0.0572 [8 per cell]

## Properties
**E_tot**: -181.4 eV/cell
**ΔH_f (0 K)**: 0.18 eV/atom



# 4
Computed, not measured: an optimized crystal structure of TbNd6Sm at the PBE level of DFT.

Unit cell a=7.3517 b=10.3095 c=14.6677 alpha=90.00 beta=90.00 gamma=90.00
Space group Fmmm (No. 69)
One atom of each set of equivalent atoms:
Tb  0.0000  0.0000  0.0000 [4 per cell]
Nd  0.0000  0.0000  0.2497 [8 per cell]
Nd  0.2500  0.2500  0.1238 [16 per cell]
Sm  0.0000  0.0000  0.5000 [4 per cell]

## Properties
**E_tot**: -151.4 eV/cell
**ΔH_f (0 K)**: 0.01 eV/atom



# 5
Computed, not measured: an optimized crystal structure of TbNd5Sm4 at the PBE level of DFT.

Unit cell a=3.6483 b=9.6353 c=10.3388 alpha=105.53 beta=90.12 gamma=100.84
Space group P-1 (No. 2)
One atom of each set of equivalent atoms:
Tb  0.0000  0.0000  0.0000 [1 per cell]
Nd  0.0000  0.0000  0.5000 [1 per cell]
Nd  0.1999  0.3999  0.6000 [2 per cell]
Nd  0.4001  0.8011  0.1974 [2 per cell]
Sm  0.2000  0.3994  0.0999 [2 per cell]
Sm  0.4003  0.8004  0.7029 [2 per cell]

## Properties
**Distance to the lowest polymorph of the same formula**: 0.000 eV/atom
**E_tot**: -47.2 eV/cell
**ΔH_f (0 K)**: 0.01 eV/atom



# 6
Computed, not measured: an optimized crystal structure of TbNd4Sm at the PBE level of DFT.

Unit cell a=9.4891 b=9.4891 c=9.4891 alpha=90.00 beta=90.00 gamma=90.00
Space group F-43m (No. 216)
One atom of each set of equivalent atoms:
Tb  0.0000  0.0000  0.0000 [4 per cell]
Nd  0.1253  0.1253  0.3747 [16 per cell]
Sm  0.2500  0.2500  0.7500 [4 per cell]

## Properties
**Distance to the lowest polymorph of the same formula**: 0.243 eV/atom
**E_tot**: -107.5 eV/cell
**ΔH_f (0 K)**: 0.26 eV/atom



# 7
Computed, not measured: an optimized crystal structure of Tb3NdSm8 at the PBE level of DFT.

Unit cell a=6.5635 b=11.3786 c=11.5766 alpha=90.00 beta=90.00 gamma=90.00
Space group Immm (No. 71)
One atom of each set of equivalent atoms:
Tb  0.0000  0.0000  0.0000 [2 per cell]
Tb  0.0000  0.5000  0.2556 [4 per cell]
Nd  0.0000  0.0000  0.5000 [2 per cell]
Sm  0.0000  0.1662  0.2494 [8 per cell]
Sm  0.2457  0.2564  0.5000 [8 per cell]

## Properties
**E_tot**: -105.0 eV/cell
**ΔH_f (0 K)**: 0.33 eV/atom



# 8
Computed, not measured: an optimized crystal structure of Tb2Nd3Sm7 at the PBE level of DFT.

Unit cell a=6.6140 b=6.6140 c=34.0444 alpha=90.00 beta=90.00 gamma=120.00
Space group R-3m (No. 166, hexagonal axes)
One atom of each set of equivalent atoms:
Tb  0.0000  0.0000  0.1662 [6 per cell]
Nd  0.0000  0.0000  0.3471 [6 per cell]
Nd  0.0000  0.0000  0.5000 [3 per cell]
Sm  0.0000  0.0000  0.0000 [3 per cell]
Sm  0.0035  0.5018  0.4159 [18 per cell]

## Properties
**Distance to the lowest polymorph of the same formula**: 0.196 eV/atom
**E_tot**: -159.7 eV/cell
**ΔH_f (0 K)**: 0.28 eV/atom



# 9
Computed, not measured: an optimized crystal structure of Tb8Nd3Sm3 at the PBE level of DFT.

Unit cell a=5.6974 b=10.8307 c=15.2364 alpha=90.00 beta=90.00 gamma=90.00
Space group Immm (No. 71)
One atom of each set of equivalent atoms:
Tb  0.0000  0.1603  0.1031 [8 per cell]
Tb  0.0000  0.3395  0.2789 [8 per cell]
Nd  0.0000  0.1971  0.5000 [4 per cell]
Nd  0.0000  0.5000  0.5000 [2 per cell]
Sm  0.0000  0.0000  0.3142 [4 per cell]
Sm  0.0000  0.5000  0.0000 [2 per cell]

## Properties
**E_tot**: -127.9 eV/cell
**ΔH_f (0 K)**: 0.11 eV/atom



# 10
Computed, not measured: an optimized crystal structure of Tb2Nd4Sm3 at the PBE level of DFT.

Unit cell a=15.8722 b=3.6363 c=10.9032 alpha=90.00 beta=103.19 gamma=90.00
Space group C2/m (No. 12)
One atom of each set of equivalent atoms:
Tb  0.1667  0.0000  0.2226 [4 per cell]
Nd  0.0007  0.5000  0.3329 [4 per cell]
Nd  0.1670  0.0000  0.8890 [4 per cell]
Sm  0.0000  0.5000  0.0000 [2 per cell]
Sm  0.1678  0.0000  0.5556 [4 per cell]

## Properties
**Distance to the lowest polymorph of the same formula**: 0.000 eV/atom
**E_tot**: -84.7 eV/cell
**ΔH_f (0 K)**: 0.01 eV/atom



# 11
Computed, not measured: an optimized crystal structure of Tb4Nd3Sm3 at the PBE level of DFT.

Unit cell a=3.7179 b=13.5559 c=13.5760 alpha=90.00 beta=90.00 gamma=90.00
Space group Amm2 (No. 38)
One atom of each set of equivalent atoms:
Tb  0.0000  0.0000  0.0000 [2 per cell]
Tb  0.0000  0.0000  0.2495 [2 per cell]
Tb  0.0000  0.1242  0.6259 [4 per cell]
Nd  0.5000  0.0000  0.4511 [2 per cell]
Nd  0.5000  0.1743  0.1248 [4 per cell]
Sm  0.0000  0.2488  0.8746 [4 per cell]
Sm  0.5000  0.0000  0.7993 [2 per cell]

## Properties
**E_tot**: -92.0 eV/cell
**ΔH_f (0 K)**: 0.10 eV/atom



# 12
Computed, not measured: an optimized crystal structure of Tb7Nd6Sm16 at the PBE level of DFT.

Unit cell a=16.0004 b=16.0004 c=16.0004 alpha=90.00 beta=90.00 gamma=90.00
Space group Fm-3m (No. 225)
One atom of each set of equivalent atoms:
Tb  0.0000  0.0000  0.0000 [4 per cell]
Tb  0.0000  0.2500  0.2500 [24 per cell]
Nd  0.0000  0.0000  0.2725 [24 per cell]
Sm  0.1260  0.1260  0.1260 [32 per cell]
Sm  0.1513  0.1513  0.3487 [32 per cell]

## Properties
**E_tot**: -521.2 eV/cell
**ΔH_f (0 K)**: 0.21 eV/atom



Look up the E_tot of the fourth one.
-151.4 eV/cell